Entry 1:
A plane-wave DFT calculation with meta-GGA SCAN was carried out for a crystal of Rb2BaSr2 relaxed with PBEsol.

## Properties
Calculated formation energy (eV/atom): 0.309

abc: 5.6931 5.6931 11.1392
angles: 104.81 104.81 90.00
Atoms (fractional coordinates):
Sr (0.2500, 0.7500, 0.5000)
Sr (0.7500, 0.2500, 0.5000)
Ba (0.0000, 0.0000, 0.0000)
Rb (0.4029, 0.4029, 0.8058)
Rb (0.5971, 0.5971, 0.1942)


Entry 2:
A plane-wave DFT calculation with meta-GGA SCAN was carried out for a crystal of Sr3Ti2Mn2BiO12 relaxed with PBEsol.

## Properties
ΔE_f (raw) (meV per atom): -2789

abc: 5.4589 5.4589 9.4186
angles: 73.15 73.15 60.00
Atoms (fractional coordinates):
Sr (0.2522, 0.2522, 0.2434)
Sr (0.5000, 0.5000, 0.5000)
Sr (0.7478, 0.7478, 0.7566)
Ti (0.8757, 0.8757, 0.3730)
Ti (0.1243, 0.1243, 0.6270)
Mn (0.3746, 0.3746, 0.8761)
Mn (0.6254, 0.6254, 0.1239)
Bi (0.0000, 0.0000, 0.0000)
O (0.7529, 0.2507, 0.2436)
O (0.5000, 0.0000, 0.0000)
O (0.0000, 0.5000, 0.5000)
O (0.2471, 0.7493, 0.7564)
O (0.5000, 0.5000, 0.0000)
O (0.2471, 0.2471, 0.7564)
O (0.7529, 0.7529, 0.2436)
O (0.0000, 0.0000, 0.5000)
O (0.0000, 0.5000, 0.0000)
O (0.7493, 0.2471, 0.7564)
O (0.2507, 0.7529, 0.2436)
O (0.5000, 0.0000, 0.5000)


Entry 3:
A plane-wave DFT calculation with meta-GGA SCAN was carried out for a crystal of TlSiTe relaxed with PBEsol.

## Properties
Energy above the lowest structure with this stoichiometry (meV per atom): 225
ΔE_f (raw) (meV per atom): 497

abc: 4.8811 4.8811 4.8811
angles: 60.00 60.00 60.00
Atoms (fractional coordinates):
Tl (0.5000, 0.5000, 0.5000)
Te (0.0000, 0.0000, 0.0000)
Si (0.7500, 0.7500, 0.7500)


Entry 4:
A plane-wave DFT calculation with meta-GGA SCAN was carried out for a crystal of CuAgPt2 relaxed with PBEsol.

## Properties
Calculated formation energy (eV/atom): -0.041
Energy above the lowest structure with this stoichiometry (meV per atom): 81

abc: 2.7041 4.5943 4.7226
angles: 90.00 91.65 90.00
Atoms (fractional coordinates):
Pt (0.7642, 0.0000, 0.7435)
Pt (0.2358, 0.0000, 0.2565)
Ag (0.5000, 0.5000, 0.0000)
Cu (0.0000, 0.5000, 0.5000)


Entry 5:
A plane-wave DFT calculation with meta-GGA SCAN was carried out for a crystal of Li4ZrNbTe2O12 relaxed with PBEsol.

## Properties
ΔE_f (raw) (meV per atom): -2169

abc: 5.1788 5.5126 7.5565
angles: 85.08 90.02 90.00
Atoms (fractional coordinates):
Li (0.5019, 0.0592, 0.7813)
Li (0.4959, 0.0798, 0.2898)
Li (0.9991, 0.5662, 0.2807)
Li (0.0024, 0.5820, 0.7905)
Zr (0.9992, 0.0085, 0.0033)
Nb (0.5013, 0.5062, 0.5037)
Te (0.4984, 0.5005, 0.0006)
Te (0.0017, 0.0037, 0.5008)
O (0.1791, 0.6660, 0.5583)
O (0.3682, 0.4813, 0.2425)
O (0.3304, 0.1714, 0.5544)
O (0.1347, 0.9765, 0.2551)
O (0.2051, 0.3173, 0.9224)
O (0.6631, 0.1876, 0.0572)
O (0.3147, 0.7929, 0.9245)
O (0.8679, 0.9781, 0.7461)
O (0.8096, 0.6655, 0.0564)
O (0.6319, 0.4866, 0.7535)
O (0.6864, 0.8050, 0.4252)
O (0.8089, 0.3080, 0.4247)


Entry 6:
A plane-wave DFT calculation with meta-GGA SCAN was carried out for a crystal of CsAsPSe2 relaxed with PBEsol.

## Properties
ΔE_f (raw) (meV per atom): 1608

abc: 6.6717 6.6717 7.1182
angles: 90.00 90.00 90.00
Atoms (fractional coordinates):
Cs (0.0000, 0.0000, 0.0000)
P (0.5000, 0.5000, 0.5000)
As (0.0000, 0.0000, 0.5000)
Se (0.0000, 0.5000, 0.0000)
Se (0.5000, 0.0000, 0.0000)


Entry 7:
A plane-wave DFT calculation with meta-GGA SCAN was carried out for a crystal of TaMo3 relaxed with PBEsol.

## Properties
Calculated formation energy (eV/atom): -0.123

abc: 5.2444 5.2427 5.2503
angles: 95.34 117.31 95.06
Atoms (fractional coordinates):
Mo (0.8119, 0.6219, 0.5665)
Mo (0.6848, 0.3726, 0.9389)
Mo (0.5588, 0.1261, 0.3131)
Mo (0.4412, 0.8739, 0.6869)
Mo (0.3152, 0.6274, 0.0611)
Mo (0.1881, 0.3781, 0.4335)
Ta (0.0635, 0.1265, 0.8077)
Ta (0.9365, 0.8735, 0.1923)


Entry 8:
A plane-wave DFT calculation with meta-GGA SCAN was carried out for a crystal of Ca2YOs relaxed with PBEsol.

## Properties
Calculated formation energy (eV/atom): 0.352
Energy above the lowest structure with this stoichiometry (meV per atom): 87

abc: 4.3038 4.3038 5.0894
angles: 90.00 90.00 90.00
Atoms (fractional coordinates):
Y (0.0000, 0.0000, 0.5000)
Ca (0.0000, 0.5000, 0.0000)
Ca (0.5000, 0.0000, 0.0000)
Os (0.5000, 0.5000, 0.5000)


Entry 9:
A plane-wave DFT calculation with meta-GGA SCAN was carried out for a crystal of Cd3NiN relaxed with PBEsol.

## Properties
ΔE_f (raw) (meV per atom): 1112

abc: 4.8548 4.8548 4.8548
angles: 90.00 90.00 90.00
Atoms (fractional coordinates):
Ni (0.0000, 0.0000, 0.0000)
N (0.5000, 0.5000, 0.5000)
Cd (0.0000, 0.5000, 0.0000)
Cd (0.0000, 0.0000, 0.5000)
Cd (0.5000, 0.0000, 0.0000)


Entry 10:
A plane-wave DFT calculation with meta-GGA SCAN was carried out for a crystal of CsErZnSe3 relaxed with PBEsol.

## Properties
ΔE_f (raw) (meV per atom): -1602

abc: 4.0690 8.1655 10.7238
angles: 90.00 90.00 104.43
Atoms (fractional coordinates):
Cs (0.2560, 0.5120, 0.7500)
Cs (0.7440, 0.4880, 0.2500)
Zn (0.5376, 0.0751, 0.7500)
Zn (0.4624, 0.9249, 0.2500)
Se (0.6176, 0.2352, 0.9428)
Se (0.0571, 0.1142, 0.2500)
Se (0.6176, 0.2352, 0.5572)
Se (0.9429, 0.8858, 0.7500)
Se (0.3824, 0.7648, 0.0572)
Se (0.3824, 0.7648, 0.4428)
Er (0.0000, 0.0000, 0.0000)
Er (0.0000, 0.0000, 0.5000)


Entry 11:
A plane-wave DFT calculation with meta-GGA SCAN was carried out for a crystal of NiSnSb2Te relaxed with PBEsol.

## Properties
ΔE_f (raw) (meV per atom): 291

abc: 4.8760 4.8760 5.2837
angles: 90.00 90.00 90.00
Atoms (fractional coordinates):
Sb (0.0000, 0.5000, 0.0000)
Sb (0.5000, 0.0000, 0.0000)
Te (0.0000, 0.0000, 0.5000)
Sn (0.5000, 0.5000, 0.5000)
Ni (0.0000, 0.0000, 0.0000)


Entry 12:
A plane-wave DFT calculation with meta-GGA SCAN was carried out for a crystal of BeSb2Rh relaxed with PBEsol.

## Properties
ΔE_f (raw) (meV per atom): 281

abc: 3.2629 4.7080 4.7080
angles: 102.01 90.00 90.00
Atoms (fractional coordinates):
Sb (0.0000, 0.5000, 0.0000)
Sb (0.0000, 0.0000, 0.5000)
Rh (0.5000, 0.5000, 0.5000)
Be (0.5000, 0.0000, 0.0000)


Entry 13:
A plane-wave DFT calculation with meta-GGA SCAN was carried out for a crystal of La2Ta relaxed with PBEsol.

## Properties
Calculated formation energy (eV/atom): 0.394
Energy above the lowest structure with this stoichiometry (meV per atom): 0

abc: 3.2118 6.7289 8.1139
angles: 103.30 101.42 90.00
Atoms (fractional coordinates):
La (0.3384, 0.3939, 0.6767)
La (0.6616, 0.6061, 0.3233)
La (0.3716, 0.9346, 0.7431)
La (0.6284, 0.0654, 0.2569)
Ta (0.9963, 0.6957, 0.9926)
Ta (0.0037, 0.3043, 0.0074)


Entry 14:
A plane-wave DFT calculation with meta-GGA SCAN was carried out for a crystal of Sr3PtSe relaxed with PBEsol.

## Properties
ΔE_f (raw) (meV per atom): -848

abc: 5.6915 5.6915 5.6915
angles: 90.00 90.00 90.00
Atoms (fractional coordinates):
Sr (0.0000, 0.5000, 0.0000)
Sr (0.0000, 0.0000, 0.5000)
Sr (0.5000, 0.0000, 0.0000)
Se (0.5000, 0.5000, 0.5000)
Pt (0.0000, 0.0000, 0.0000)


Entry 15:
A plane-wave DFT calculation with meta-GGA SCAN was carried out for a crystal of Mg5As relaxed with PBEsol.

## Properties
Calculated formation energy (eV/atom): -0.069
Energy above the lowest structure with this stoichiometry (meV per atom): 0

abc: 3.1972 5.9007 7.3805
angles: 106.40 90.00 105.72
Atoms (fractional coordinates):
As (0.9966, 0.9932, 0.9962)
Mg (0.6833, 0.3666, 0.3451)
Mg (0.3424, 0.6849, 0.7055)
Mg (0.3953, 0.7905, 0.2466)
Mg (0.0529, 0.1058, 0.5955)
Mg (0.6962, 0.3923, 0.9445)


Entry 16:
A plane-wave DFT calculation with meta-GGA SCAN was carried out for a crystal of Fe2TePt relaxed with PBEsol.

## Properties
ΔE_f (raw) (meV per atom): 19

abc: 3.8883 3.9984 3.8763
angles: 90.00 90.00 90.00
Atoms (fractional coordinates):
Fe (0.0000, 0.0000, 0.0000)
Fe (0.5000, 0.0000, 0.5000)
Pt (0.5000, 0.5000, 0.0000)
Te (0.0000, 0.5000, 0.5000)


Entry 17:
A plane-wave DFT calculation with meta-GGA SCAN was carried out for a crystal of TcSnPt3 relaxed with PBEsol.

## Properties
Calculated formation energy (eV/atom): 1.360

abc: 4.8295 4.8295 4.8295
angles: 90.00 90.00 90.00
Atoms (fractional coordinates):
Sn (0.0000, 0.0000, 0.0000)
Pt (0.0000, 0.5000, 0.0000)
Pt (0.0000, 0.0000, 0.5000)
Pt (0.5000, 0.0000, 0.0000)
Tc (0.5000, 0.5000, 0.5000)


Entry 18:
A plane-wave DFT calculation with meta-GGA SCAN was carried out for a crystal of NiMo2Rh relaxed with PBEsol.

## Properties
Calculated formation energy (eV/atom): -0.080
Energy above the lowest structure with this stoichiometry (meV per atom): 0

abc: 2.6761 4.2924 4.7076
angles: 90.00 90.00 90.00
Atoms (fractional coordinates):
Ni (0.5000, 0.0000, 0.5462)
Mo (0.0000, 0.0000, 0.0413)
Mo (0.0000, 0.5000, 0.6981)
Rh (0.5000, 0.5000, 0.2144)


Entry 19:
A plane-wave DFT calculation with meta-GGA SCAN was carried out for a crystal of LiMgSi2 relaxed with PBEsol.

## Properties
ΔE_f (raw) (meV per atom): 57

abc: 3.6480 4.1138 5.1766
angles: 113.41 110.63 90.00
Atoms (fractional coordinates):
Si (0.0265, 0.0265, 0.0530)
Si (0.7117, 0.2117, 0.4234)
Mg (0.2636, 0.7636, 0.5272)
Li (0.4982, 0.4982, 0.9964)


Entry 20:
A plane-wave DFT calculation with meta-GGA SCAN was carried out for a crystal of BiPCS2 relaxed with PBEsol.

## Properties
ΔE_f (raw) (meV per atom): 1134

abc: 4.1605 4.3038 4.3038
angles: 90.00 90.00 90.00
Atoms (fractional coordinates):
C (0.0000, 0.0000, 0.0000)
P (0.5000, 0.0000, 0.0000)
S (0.0000, 0.0000, 0.5000)
S (0.0000, 0.5000, 0.0000)
Bi (0.5000, 0.5000, 0.5000)


Record-wise VASP energy values, in eV per atom: -24.81 -17.23 -39.38 -46.78 -13.30 -20.10 -42.93 -29.41 -22.23 -28.59 -32.48 -27.88 -50.54 -32.27 -7.58 -35.91 -54.95 -30.01 -6.79 -22.53